# 1
An optimized crystal structure of Sr2Sc2Sb2P, computed with PBE.

Cell and atoms, written as CIF:
```
data_Sr2Sc2Sb2P
_chemical_formula_sum 'Sr4 Sc4 Sb4 P2'
_symmetry_space_group_name_H-M 'I 4/m m m'
_symmetry_Int_Tables_number 139
_symmetry_space_group_name_Hall '-I 4 2'
_cell_length_a 4.941
_cell_length_b 4.941
_cell_length_c 16.887
_cell_angle_alpha 90.00
_cell_angle_beta 90.00
_cell_angle_gamma 90.00
loop_
_atom_site_label
_atom_site_fract_x
_atom_site_fract_y
_atom_site_fract_z
_atom_site_occupancy
Sr1 0.000 0.000 0.173 1
Sc1 0.000 0.500 0.000 1
Sb1 0.000 0.000 0.376 1
P1 0.000 0.000 0.000 1
```

Summary:
* calculated total energy: -5.327 eV per atom

# 2
An optimized crystal structure of Sc4SbTe2P, computed with PBE.

Cell and atoms, written as CIF:
```
data_Sc4SbTe2P
_chemical_formula_sum 'Sc4 Sb1 Te2 P1'
_symmetry_space_group_name_H-M 'P 1 2/m 1'
_symmetry_Int_Tables_number 10
_symmetry_space_group_name_Hall '-P 2y'
_cell_length_a 7.054
_cell_length_b 4.024
_cell_length_c 7.108
_cell_angle_alpha 90.00
_cell_angle_beta 109.03
_cell_angle_gamma 90.00
loop_
_atom_site_label
_atom_site_fract_x
_atom_site_fract_y
_atom_site_fract_z
_atom_site_occupancy
Sc1 0.218 0.000 0.213 1
Sc2 0.235 0.500 0.777 1
Sb1 0.500 0.000 0.000 1
Te1 0.000 0.000 0.500 1
Te2 0.500 0.500 0.500 1
P1 0.000 0.500 0.000 1
```

Summary:
* calculated total energy: -6.345 eV per atom

# 3
An optimized crystal structure of ScSb2TeP, computed with PBE.

Cell and atoms, written as CIF:
```
data_ScSb2TeP
_chemical_formula_sum 'Sc1 Sb2 Te1 P1'
_symmetry_space_group_name_H-M 'P 4/m m m'
_symmetry_Int_Tables_number 123
_symmetry_space_group_name_Hall '-P 4 2'
_cell_length_a 5.502
_cell_length_b 5.502
_cell_length_c 5.379
_cell_angle_alpha 90.00
_cell_angle_beta 90.00
_cell_angle_gamma 90.00
loop_
_atom_site_label
_atom_site_fract_x
_atom_site_fract_y
_atom_site_fract_z
_atom_site_occupancy
Sc1 0.000 0.000 0.000 1
Sb1 0.000 0.500 0.000 1
Te1 0.000 0.000 0.500 1
P1 0.500 0.500 0.500 1
```

Summary:
* energy relative to the lowest polymorph listed for this composition: 0.315 eV per atom

# 4
An optimized crystal structure of Sc8Sb3Te4P, computed with PBE.

Cell and atoms, written as CIF:
```
data_Sc8Sb3Te4P
_chemical_formula_sum 'Sc24 Sb9 Te12 P3'
_symmetry_space_group_name_H-M 'R -3 m'
_symmetry_Int_Tables_number 166
_symmetry_space_group_name_Hall '-R 3 2"'
_cell_length_a 8.2224
_cell_length_b 8.2224
_cell_length_c 20.2872
_cell_angle_alpha 90.00
_cell_angle_beta 90.00
_cell_angle_gamma 120.00
loop_
_atom_site_label
_atom_site_fract_x
_atom_site_fract_y
_atom_site_fract_z
_atom_site_occupancy
Sc1 0.0000 0.0000 0.2462 1
Sc2 0.0243 0.5122 0.2409 1
Sb1 0.0000 0.5000 0.5000 1
Te1 0.0000 0.0000 0.0000 1
Te2 0.0000 0.5000 0.0000 1
P1 0.0000 0.0000 0.5000 1
```

Summary:
* calculated total energy: -6.189 eV per atom

# 5
An optimized crystal structure of Sc6SbTe3P2, computed with PBE.

Cell and atoms, written as CIF:
```
data_Sc6SbTe3P2
_chemical_formula_sum 'Sc12 Sb2 Te6 P4'
_symmetry_space_group_name_H-M 'C 1 2/m 1'
_symmetry_Int_Tables_number 12
_symmetry_space_group_name_Hall '-C 2y'
_cell_length_a 17.704
_cell_length_b 3.977
_cell_length_c 8.155
_cell_angle_alpha 90.00
_cell_angle_beta 104.39
_cell_angle_gamma 90.00
loop_
_atom_site_label
_atom_site_fract_x
_atom_site_fract_y
_atom_site_fract_z
_atom_site_occupancy
Sc1 0.019 0.000 0.256 1
Sc2 0.171 0.500 0.127 1
Sc3 0.178 0.500 0.563 1
Sb1 0.000 0.500 0.000 1
Te1 0.000 0.500 0.500 1
Te2 0.161 0.000 0.835 1
P1 0.170 0.000 0.340 1
```

Summary:
* calculated total energy: -6.471 eV per atom

# 6
An optimized crystal structure of ScSb2TeP, computed with PBE.

Cell and atoms, written as CIF:
```
data_ScSb2TeP
_chemical_formula_sum 'Sc1 Sb2 Te1 P1'
_symmetry_space_group_name_H-M 'P 4/m m m'
_symmetry_Int_Tables_number 123
_symmetry_space_group_name_Hall '-P 4 2'
_cell_length_a 5.109
_cell_length_b 5.109
_cell_length_c 5.284
_cell_angle_alpha 90.00
_cell_angle_beta 90.00
_cell_angle_gamma 90.00
loop_
_atom_site_label
_atom_site_fract_x
_atom_site_fract_y
_atom_site_fract_z
_atom_site_occupancy
Sc1 0.000 0.000 0.000 1
Sb1 0.000 0.500 0.500 1
Te1 0.500 0.500 0.000 1
P1 0.500 0.500 0.500 1
```

Summary:
* energy relative to the lowest polymorph listed for this composition: 0.000 eV per atom

# 7
An optimized crystal structure of Sb2PSe, computed with PBE.

Cell and atoms, written as CIF:
```
data_Sb2PSe
_chemical_formula_sum 'Sb8 P4 Se4'
_symmetry_space_group_name_H-M 'F -4 3 m'
_symmetry_Int_Tables_number 216
_symmetry_space_group_name_Hall 'F -4 2 3'
_cell_length_a 7.111
_cell_length_b 7.111
_cell_length_c 7.111
_cell_angle_alpha 90.00
_cell_angle_beta 90.00
_cell_angle_gamma 90.00
loop_
_atom_site_label
_atom_site_fract_x
_atom_site_fract_y
_atom_site_fract_z
_atom_site_occupancy
Sb1 0.000 0.000 0.000 1
Sb2 0.250 0.250 0.250 1
P1 0.250 0.250 0.750 1
Se1 0.000 0.000 0.500 1
```

Summary:
* energy relative to the lowest polymorph listed for this composition: 0.418 eV per atom

# 8
An optimized crystal structure of SbP2Se, computed with PBE.

Cell and atoms, written as CIF:
```
data_SbP2Se
_chemical_formula_sum 'Sb2 P4 Se2'
_symmetry_space_group_name_H-M 'I 4/m m m'
_symmetry_Int_Tables_number 139
_symmetry_space_group_name_Hall '-I 4 2'
_cell_length_a 3.756
_cell_length_b 3.756
_cell_length_c 13.120
_cell_angle_alpha 90.00
_cell_angle_beta 90.00
_cell_angle_gamma 90.00
loop_
_atom_site_label
_atom_site_fract_x
_atom_site_fract_y
_atom_site_fract_z
_atom_site_occupancy
Sb1 0.000 0.000 0.000 1
P1 0.000 0.500 0.250 1
Se1 0.000 0.000 0.500 1
```

Summary:
* energy relative to the lowest polymorph listed for this composition: 0.529 eV per atom